No. 1
Material: BaIn3S
Method: DFT, PBE
State: relaxed

a = 5.5660 Å, b = 5.5660 Å, c = 5.5660 Å
α = 90.00°, β = 90.00°, γ = 90.00°
Closest atoms and distances in Å follow each position.
Element x y z (fractional)
S 0.0000 0.0000 0.0000  6 In 2.78
Ba 0.5000 0.5000 0.5000  12 In 3.94
In 0.0000 0.5000 0.0000  2 S 2.78
In 0.0000 0.0000 0.5000  2 S 2.78
In 0.5000 0.0000 0.0000  2 S 2.78

Calculated values
The calculation puts the distance to the lowest polymorph of the same formula at 0.000 eV per atom. For the total magnetic moment, the calculation gives 0.0000 μB per atom. Its formation energy from raw total energies is -95 meV/atom. Its total DFT energy (no corrections) is -14.743 eV/cell.


No. 2
Material: Ba2InS
Method: DFT, PBE
State: relaxed

a = 3.8706 Å, b = 3.8706 Å, c = 9.0946 Å
α = 90.00°, β = 90.00°, γ = 90.00°
Closest atoms and distances in Å follow each position.
Element x y z (fractional)
S 0.5000 0.5000 0.0000  8 Ba 3.33
Ba 0.0000 0.0000 0.7924  4 S 3.33
Ba 0.0000 0.0000 0.2076  4 S 3.33
In 0.5000 0.5000 0.5000  8 Ba 3.82, 4 In 3.87

Calculated values
The calculation puts the distance to the lowest polymorph of the same formula at 0.000 eV per atom. For the total magnetic moment, the calculation gives 0.0000 μB per atom. Its formation energy from raw total energies is -1036 meV/atom. Its total DFT energy (no corrections) is -14.855 eV/cell.


No. 3
Material: Ba2InS
Method: DFT, PBE
State: relaxed

a = 5.8253 Å, b = 5.8253 Å, c = 5.8253 Å
α = 60.00°, β = 60.00°, γ = 60.00°
Closest atoms and distances in Å follow each position.
Element x y z (fractional)
S 0.0000 0.0000 0.0000  8 Ba 3.57
Ba 0.2500 0.2500 0.2500  4 S 3.57, 4 In 3.57
Ba 0.7500 0.7500 0.7500  4 S 3.57, 4 In 3.57
In 0.5000 0.5000 0.5000  8 Ba 3.57

Calculated values
The calculation puts the distance to the lowest polymorph of the same formula at 0.364 eV per atom. For the total magnetic moment, the calculation gives 0.0011 μB per atom. Its formation energy from raw total energies is -671 meV/atom. Its total DFT energy (no corrections) is -13.397 eV/cell.


No. 4
Material: BaIn6S8
Method: DFT, PBE
State: relaxed

a = 7.4013 Å, b = 7.4013 Å, c = 7.4013 Å
α = 94.47°, β = 94.47°, γ = 94.47°
Closest atoms and distances in Å follow each position.
Element x y z (fractional)
Ba 0.0000 0.0000 0.0000  6 S 3.20
In 0.6200 0.4051 0.8725  4 S 2.61-2.66
In 0.4051 0.8725 0.6200  4 S 2.61-2.66
In 0.8725 0.6200 0.4051  4 S 2.61-2.66
In 0.3800 0.5949 0.1275  4 S 2.61-2.66
In 0.5949 0.1275 0.3800  4 S 2.61-2.66
In 0.1275 0.3800 0.5949  4 S 2.61-2.66
S 0.6907 0.6907 0.6907  3 In 2.63
S 0.3093 0.3093 0.3093  3 In 2.63
S 0.6755 0.8196 0.2059  3 In 2.61-2.66
S 0.8196 0.2059 0.6755  3 In 2.61-2.66
S 0.2059 0.6755 0.8196  3 In 2.61-2.66
S 0.3245 0.1804 0.7941  3 In 2.61-2.66
S 0.1804 0.7941 0.3245  3 In 2.61-2.66
S 0.7941 0.3245 0.1804  3 In 2.61-2.66

Calculated values
For the total magnetic moment, the calculation gives 0.0000 μB per atom. Its formation energy from raw total energies is -610 meV/atom. Its total DFT energy (no corrections) is -60.528 eV/cell.